Crystalline Rb12Hg6Bi at its relaxed geometry, computed with PBE-GGA.

Output
- calculated formation energy (eV per atom) = -0.18
- total energy (eV/atom) = -1.091

Cell: 10.851 10.851 10.851 Å, 109.47 109.47 109.47°
Sites, in units of the cell vectors:
Rb 0.104 0.822 0.282
Rb 0.178 0.282 0.460
Rb 0.178 0.718 0.896
Rb 0.282 0.104 0.822
Rb 0.282 0.460 0.178
Rb 0.460 0.178 0.282
Rb 0.540 0.822 0.718
Rb 0.718 0.540 0.822
Rb 0.718 0.896 0.178
Rb 0.822 0.282 0.104
Rb 0.822 0.718 0.540
Rb 0.896 0.178 0.718
Hg 0.121 0.621 0.500
Hg 0.379 0.500 0.879
Hg 0.500 0.121 0.621
Hg 0.500 0.879 0.379
Hg 0.621 0.500 0.121
Hg 0.879 0.379 0.500
Bi 0.000 0.000 0.000